(1)
NaReO2 | GGA-PBE | relaxed

abc: 5.3541 5.3541 5.3541
angles: 90.00 90.00 90.00
Atoms (fractional coordinates):
Na  0.0000  0.0000  0.0000
Na  0.0000  0.5000  0.5000
Na  0.5000  0.0000  0.5000
Na  0.5000  0.5000  0.0000
Re  0.0000  0.0000  0.5000
Re  0.0000  0.5000  0.0000
Re  0.5000  0.0000  0.0000
Re  0.5000  0.5000  0.5000
O  0.2500  0.2500  0.2500
O  0.2500  0.2500  0.7500
O  0.2500  0.7500  0.2500
O  0.2500  0.7500  0.7500
O  0.7500  0.2500  0.2500
O  0.7500  0.2500  0.7500
O  0.7500  0.7500  0.2500
O  0.7500  0.7500  0.7500

Computed properties:
For the formation energy without anion corrections, the calculation gives -0.3304 eV/atom. As for the total magnetization: 0.0 μB/f.u. The value obtained for the polymorph energy (0 for the lowest one) is 891 meV/atom. The space-group type is Fm-3m.

=====

(2)
SrTc2As | GGA-PBE | relaxed

abc: 3.2122 3.2122 25.7687
angles: 90.00 90.00 120.00
Atoms (fractional coordinates):
Sr  0.0000  0.0000  0.0000
Sr  0.3333  0.6667  0.6667
Sr  0.6667  0.3333  0.3333
Tc  0.0000  0.0000  0.2324
Tc  0.0000  0.0000  0.7676
Tc  0.3333  0.6667  0.4343
Tc  0.3333  0.6667  0.8991
Tc  0.6667  0.3333  0.1009
Tc  0.6667  0.3333  0.5657
As  0.0000  0.0000  0.5000
As  0.3333  0.6667  0.1667
As  0.6667  0.3333  0.8333

Computed properties:
As for the total magnetization: 0.0 μB/f.u. The space-group type is R-3m.

=====

(3)
SbRhAu2 | GGA-PBE | relaxed

abc: 3.5036 3.5036 22.5607
angles: 90.00 90.00 120.00
Atoms (fractional coordinates):
Sb  0.0000  0.0000  0.0000
Sb  0.3333  0.6667  0.6667
Sb  0.6667  0.3333  0.3333
Rh  0.0000  0.0000  0.7382
Rh  0.3333  0.6667  0.4049
Rh  0.6667  0.3333  0.0715
Au  0.0000  0.0000  0.2411
Au  0.0000  0.0000  0.4882
Au  0.3333  0.6667  0.1549
Au  0.3333  0.6667  0.9078
Au  0.6667  0.3333  0.5745
Au  0.6667  0.3333  0.8215

Computed properties:
For the formation energy without anion corrections, the calculation gives 0.0397 eV/atom. As for the total magnetization: 0.0 μB/f.u. The space-group type is R3m.

=====

(4)
LaTlAg2Cl6 | GGA-PBE | relaxed

abc: 7.4302 7.4335 7.8370
angles: 62.42 61.99 60.25
Atoms (fractional coordinates):
La  0.0000  0.0000  0.0000
Tl  0.4934  0.4918  0.5190
Ag  0.2399  0.2494  0.2639
Ag  0.8011  0.7883  0.6139
Cl  0.0536  0.3964  0.7971
Cl  0.1721  0.9359  0.2891
Cl  0.4022  0.7586  0.7910
Cl  0.6018  0.1786  0.2808
Cl  0.7598  0.0456  0.7894
Cl  0.9331  0.6080  0.2950

Computed properties:
For the formation energy without anion corrections, the calculation gives -1.3174 eV/atom. As for the total magnetization: 0.0 μB/f.u. The space-group type is P1.

=====

(5)
GaCu3Pd | GGA-PBE | relaxed

abc: 8.0553 5.0440 3.9850
angles: 90.00 118.62 90.00
Atoms (fractional coordinates):
Ga  0.0000  0.0000  0.0000
Ga  0.5000  0.5000  0.0000
Cu  0.2272  0.0000  0.7269
Cu  0.4101  0.2385  0.4105
Cu  0.4101  0.7615  0.4105
Cu  0.7272  0.5000  0.7269
Cu  0.9101  0.2615  0.4105
Cu  0.9101  0.7385  0.4105
Pd  0.0961  0.5000  0.0876
Pd  0.5961  0.0000  0.0876

Computed properties:
As for the total magnetization: 0.0 μB/f.u. The value obtained for the polymorph energy (0 for the lowest one) is 0 meV/atom. The space-group type is Cm.

=====

(6)
GaCo3Sn | GGA-PBE | relaxed

abc: 4.7342 4.7342 4.7342
angles: 90.00 90.00 90.00
Atoms (fractional coordinates):
Ga  0.0000  0.0000  0.0000
Co  0.0000  0.5000  0.5000
Co  0.5000  0.0000  0.5000
Co  0.5000  0.5000  0.0000
Sn  0.5000  0.5000  0.5000

Computed properties:
As for the total magnetization: 5.1 μB/f.u. The value obtained for the polymorph energy (0 for the lowest one) is 589 meV/atom. The space-group type is Pm-3m.

=====

(7)
TbPrDy2In4 | GGA-PBE | relaxed

abc: 9.3202 9.3202 9.3202
angles: 33.47 33.47 33.47
Atoms (fractional coordinates):
Tb  0.0000  0.0000  0.0000
Pr  0.5000  0.5000  0.5000
Dy  0.2503  0.2503  0.2503
Dy  0.7497  0.7497  0.7497
In  0.1235  0.1235  0.1235
In  0.3736  0.3736  0.3736
In  0.6264  0.6264  0.6264
In  0.8765  0.8765  0.8765

Computed properties:
As for the total magnetization: 0.0 μB/f.u. The space-group type is R-3m.

=====

(8)
Hf4SiIr | GGA-PBE | relaxed

abc: 6.5008 6.5008 5.5042
angles: 90.00 90.00 90.00
Atoms (fractional coordinates):
Hf  0.1629  0.3355  0.0000
Hf  0.1629  0.6645  0.5000
Hf  0.3355  0.1629  0.5000
Hf  0.3355  0.8371  0.0000
Hf  0.6645  0.1629  0.0000
Hf  0.6645  0.8371  0.5000
Hf  0.8371  0.3355  0.5000
Hf  0.8371  0.6645  0.0000
Si  0.5000  0.5000  0.2500
Si  0.5000  0.5000  0.7500
Ir  0.0000  0.0000  0.2500
Ir  0.0000  0.0000  0.7500

Computed properties:
For the formation energy without anion corrections, the calculation gives -0.6729 eV/atom. As for the total magnetization: 0.0 μB/f.u. The space-group type is P4/mcc.

=====

(9)
Rb2TiP2 | GGA-PBE | relaxed

abc: 8.3814 8.3814 8.3814
angles: 127.50 71.79 134.72
Atoms (fractional coordinates):
Rb  0.1522  0.1485  0.3007
Rb  0.3478  0.6485  0.9964
Rb  0.6522  0.3515  0.0036
Rb  0.8478  0.8515  0.6993
Ti  0.2500  0.7500  0.5000
Ti  0.7500  0.2500  0.5000
P  0.0926  0.6701  0.7627
P  0.4074  0.1701  0.5775
P  0.5926  0.8299  0.4225
P  0.9074  0.3299  0.2373

Computed properties:
As for the total magnetization: 0.0 μB/f.u. The space-group type is Ibam.

=====

(10)
InSiRu | GGA-PBE | relaxed

abc: 4.0963 4.0963 3.5358
angles: 90.00 90.00 120.00
Atoms (fractional coordinates):
In  0.0000  0.0000  0.0000
Si  0.6667  0.3333  0.5000
Ru  0.3333  0.6667  0.5000

Computed properties:
For the formation energy without anion corrections, the calculation gives -0.0636 eV/atom. As for the total magnetization: 0.0 μB/f.u. The space-group type is P-6m2.

=====

(11)
TcSn2B2 | GGA-PBE | relaxed

abc: 6.9692 6.9692 3.2765
angles: 90.00 90.00 90.00
Atoms (fractional coordinates):
Tc  0.0000  0.0000  0.0000
Tc  0.5000  0.5000  0.0000
Sn  0.1440  0.3560  0.0000
Sn  0.3560  0.8560  0.0000
Sn  0.6440  0.1440  0.0000
Sn  0.8560  0.6440  0.0000
B  0.1687  0.6687  0.5000
B  0.3313  0.1687  0.5000
B  0.6687  0.8313  0.5000
B  0.8313  0.3313  0.5000

Computed properties:
As for the total magnetization: 0.8 μB/f.u. The value obtained for the polymorph energy (0 for the lowest one) is 499 meV/atom. The space-group type is P4/mbm.

=====

(12)
KNaCd2Ge | GGA-PBE | relaxed

abc: 5.4492 5.4492 5.6575
angles: 90.00 90.00 90.00
Atoms (fractional coordinates):
K  0.0000  0.0000  0.0000
Na  0.5000  0.5000  0.0000
Cd  0.0000  0.5000  0.5000
Cd  0.5000  0.0000  0.5000
Ge  0.5000  0.5000  0.5000

Computed properties:
As for the total magnetization: 0.0 μB/f.u. The space-group type is P4/mmm.

=====

Number 1: E_tot -6.251 eV per atom. Number 2: E_tot -6.188 eV per atom. Number 3: E_tot -4.467 eV per atom. Number 4: E_tot -3.725 eV per atom. Number 5: E_tot -4.166 eV per atom. Number 6: E_tot -4.368 eV per atom. Number 7: E_tot -4.167 eV per atom. Number 8: E_tot -9.689 eV per atom. Number 9: E_tot -4.768 eV per atom. Number 10: E_tot -5.876 eV per atom. Number 11: E_tot -4.917 eV per atom. Number 12: E_tot -1.721 eV per atom.